No. 1
Material: FeOs2
Method: DFT, GGA-PBE
State: relaxed

abc: 5.9583 5.9583 3.7679
angles: 90.00 90.00 143.12
Sites, in units of the cell vectors:
Fe  0.0833  0.9167  0.7500
Os  0.4179  0.5821  0.7500
Os  0.5821  0.4179  0.2500
Fe  0.9167  0.0833  0.2500
Os  0.7536  0.2464  0.7500
Os  0.2464  0.7536  0.2500

* V: 80 Å³/cell
* magnetization: 1.5 μB/f.u.
* ΔH_f (0 K): 154 meV/atom

---

No. 2
Material: Fe2Os3
Method: DFT, GGA-PBE
State: relaxed

abc: 7.7571 6.7729 5.0370
angles: 80.66 59.49 39.85
Sites, in units of the cell vectors:
Os  0.0788  0.9212  0.9212
Fe  0.8944  0.7009  0.0540
Fe  0.3508  0.0540  0.7009
Os  0.3288  0.1712  0.1712
Fe  0.1960  0.8992  0.3556
Fe  0.5491  0.3556  0.8992
Os  0.8878  0.8080  0.5160
Os  0.4420  0.3622  0.4618
Os  0.7340  0.4618  0.3622
Os  0.7882  0.5160  0.8080

* V: 133 Å³/cell
* magnetization: 3.4 μB/f.u.
* ΔH_f (0 K): 222 meV/atom

---

Mass density for every record listed, in sequence, given in Mg/m³: 18.1, 17.0.